DFT (GGA-PBE) results for an optimized crystal structure of AcRhAu4.

```
data_AcRhAu4
_chemical_formula_sum 'Ac4 Rh4 Au16'
_cell_length_a 7.946
_cell_length_b 7.946
_cell_length_c 7.946
_cell_angle_alpha 90.00
_cell_angle_beta 90.00
_cell_angle_gamma 90.00
_symmetry_space_group_name_H-M 'F -4 3 m'
_symmetry_Int_Tables_number 216
_symmetry_space_group_name_Hall 'F -4 2 3'
loop_
_atom_site_label
_atom_site_type_symbol
_atom_site_fract_x
_atom_site_fract_y
_atom_site_fract_z
Ac1 Ac 0.000 0.000 0.000
Rh1 Rh 0.250 0.250 0.250
Au1 Au 0.124 0.124 0.624
```

DFT formation energy = -1.9 eV/f.u.
Uncorrected energy = -4.414 eV per atom